BaAu3C: relaxed, PBE-GGA. Values from VASP.

```
&SYSTEM
  ibrav = 0, nat = 5, ntyp = 3
/
ATOMIC_SPECIES
C 12.01 C.upf
Au 196.97 Au.upf
Ba 137.33 Ba.upf
CELL_PARAMETERS angstrom
-4.633 0.847 -0.067
-0.511 -3.076 -3.531
-0.679 -3.466 3.117
ATOMIC_POSITIONS crystal
C 0.000 0.000 0.000
Au 0.000 0.500 0.000
Au 0.000 0.000 0.500
Au 0.500 0.000 0.000
Ba 0.500 0.500 0.500
```

Crystal system ... cubic
Energy of formation from the pure elements ... 0.323 eV/atom


DyPaP2Ir5: relaxed, PBE-GGA. Values from VASP.

```
&SYSTEM
  ibrav = 0, nat = 9, ntyp = 4
/
ATOMIC_SPECIES
Dy 162.50 Dy.upf
Pa 231.04 Pa.upf
P 30.97 P.upf
Ir 192.22 Ir.upf
CELL_PARAMETERS angstrom
4.032 0.000 0.000
0.000 4.032 0.000
0.000 0.000 10.934
ATOMIC_POSITIONS crystal
Dy 0.000 0.000 0.000
Pa 0.000 0.000 0.500
P 0.500 0.500 0.290
P 0.500 0.500 0.710
Ir 0.000 0.500 0.198
Ir 0.500 0.000 0.198
Ir 0.000 0.500 0.802
Ir 0.500 0.000 0.802
Ir 0.500 0.500 0.500
```

Crystal system ... tetragonal
Energy of formation from the pure elements ... -0.561 eV/atom


NaGe2IO8: relaxed, PBE-GGA. Values from VASP.

```
&SYSTEM
  ibrav = 0, nat = 12, ntyp = 4
/
ATOMIC_SPECIES
Na 22.99 Na.upf
Ge 72.64 Ge.upf
I 126.90 I.upf
O 16.00 O.upf
CELL_PARAMETERS angstrom
-3.233 -1.304 -3.291
-1.394 -4.334 1.502
-5.680 1.583 3.181
ATOMIC_POSITIONS crystal
Na 0.000 0.000 0.500
Ge 0.447 0.447 0.712
Ge 0.553 0.553 0.288
I 0.000 0.000 0.000
O 0.195 0.759 0.217
O 0.742 0.742 0.044
O 0.759 0.195 0.217
O 0.805 0.241 0.783
O 0.258 0.258 0.956
O 0.241 0.805 0.783
O 0.666 0.666 0.498
O 0.334 0.334 0.502
```

Crystal system ... monoclinic
Formation energy from raw total energies ... -12.0 eV/f.u.